VASP calculation (PBE with a Hubbard U) on crystalline CrAuO2F at its relaxed geometry.

Calculated values
Density of states at the Fermi level = 0.578 states/eV per atom
Energy = -4.245 eV/atom

```
data_CrAuO2F
_symmetry_space_group_name_H-M 'P 1'
_symmetry_Int_Tables_number 1
_symmetry_space_group_name_Hall 'P 1'
_cell_length_a 4.430
_cell_length_b 3.677
_cell_length_c 4.430
_cell_angle_alpha 90.00
_cell_angle_beta 90.00
_cell_angle_gamma 90.00
loop_
_atom_site_label
_atom_site_fract_x
_atom_site_fract_y
_atom_site_fract_z
O1 0.500 0.000 0.000
O2 0.000 0.000 0.500
Cr1 0.000 0.500 0.000
Au1 0.500 0.500 0.500
F1 0.000 0.000 0.000
```